HfP2AuCl: relaxed, PBE.

Structure (CIF):
```
data_HfP2AuCl
_chemical_formula_sum 'Hf1 P2 Au1 Cl1'
_cell_length_a 5.053
_cell_length_b 5.053
_cell_length_c 4.816
_cell_angle_alpha 90.00
_cell_angle_beta 90.00
_cell_angle_gamma 90.00
_symmetry_space_group_name_H-M 'P 1'
_symmetry_Int_Tables_number 1
_symmetry_space_group_name_Hall 'P 1'
loop_
_atom_site_label
_atom_site_fract_x
_atom_site_fract_y
_atom_site_fract_z
Hf1 0.000 0.000 0.000
P1 0.000 0.500 0.000
P2 0.500 0.000 0.000
Au1 0.500 0.500 0.500
Cl1 0.000 0.000 0.500
```

Summary:
Energy above the most stable polymorph in this dataset, meV per atom: 0
Theoretical density, g/cm³: 6.4
Formation energy (no corrections), eV/atom: 0.1577